1.
Rb3Np2ZnO9 | PBE | relaxed

CIF file:
```
data_Rb3Np2ZnO9
_symmetry_space_group_name_H-M 'P -3 m 1'
_symmetry_Int_Tables_number 164
_symmetry_space_group_name_Hall '-P 3 2"'
_cell_length_a 6.0091
_cell_length_b 6.0091
_cell_length_c 7.3799
_cell_angle_alpha 90.00
_cell_angle_beta 90.00
_cell_angle_gamma 120.00
loop_
_atom_site_label
_atom_site_type_symbol
_atom_site_fract_x
_atom_site_fract_y
_atom_site_fract_z
Rb1 Rb 0.0000 0.0000 0.0000
Rb2 Rb 0.3333 0.6667 0.6580
Np1 Np 0.3333 0.6667 0.1728
Zn1 Zn 0.0000 0.0000 0.5000
O1 O 0.0000 0.5000 0.0000
O2 O 0.1744 0.3487 0.3240
```

As for the uncorrected formation energy: -2.244 eV/atom.

2.
Na4AlP2HO9 | PBE | relaxed

CIF file:
```
data_Na4AlP2HO9
_symmetry_space_group_name_H-M 'P b c m'
_symmetry_Int_Tables_number 57
_symmetry_space_group_name_Hall '-P 2c 2b'
_cell_length_a 15.438
_cell_length_b 14.886
_cell_length_c 6.998
_cell_angle_alpha 90.00
_cell_angle_beta 90.00
_cell_angle_gamma 90.00
loop_
_atom_site_label
_atom_site_type_symbol
_atom_site_fract_x
_atom_site_fract_y
_atom_site_fract_z
Na1 Na 0.009 0.250 0.000
Na2 Na 0.131 0.111 0.250
Na3 Na 0.220 0.750 0.000
Na4 Na 0.254 0.250 0.000
Na5 Na 0.254 0.518 0.021
Na6 Na 0.376 0.635 0.750
Na7 Na 0.469 0.250 0.000
Al1 Al 0.000 0.000 0.000
Al2 Al 0.500 0.000 0.000
P1 P 0.125 0.129 0.750
P2 P 0.129 0.620 0.750
P3 P 0.366 0.118 0.250
P4 P 0.381 0.636 0.250
H1 H 0.063 0.588 0.250
H2 H 0.444 0.087 0.750
O1 O 0.011 0.550 0.250
O2 O 0.072 0.102 0.566
O3 O 0.089 0.715 0.750
O4 O 0.103 0.564 0.569
O5 O 0.134 0.233 0.750
O6 O 0.214 0.084 0.750
O7 O 0.229 0.629 0.750
O8 O 0.275 0.076 0.250
O9 O 0.281 0.650 0.250
O10 O 0.359 0.222 0.250
O11 O 0.404 0.580 0.066
O12 O 0.417 0.089 0.068
O13 O 0.430 0.726 0.250
O14 O 0.497 0.051 0.750
```

As for the electronic total energy: -6.25 eV/atom.

3.
LaSeN3 | PBE | relaxed

CIF file:
```
data_LaSeN3
_symmetry_space_group_name_H-M 'P m -3 m'
_symmetry_Int_Tables_number 221
_symmetry_space_group_name_Hall '-P 4 2 3'
_cell_length_a 3.918
_cell_length_b 3.918
_cell_length_c 3.918
_cell_angle_alpha 90.00
_cell_angle_beta 90.00
_cell_angle_gamma 90.00
loop_
_atom_site_label
_atom_site_type_symbol
_atom_site_fract_x
_atom_site_fract_y
_atom_site_fract_z
La1 La 0.000 0.000 0.000
Se1 Se 0.500 0.500 0.500
N1 N 0.000 0.500 0.500
```

As for the uncorrected formation energy: 0.374 eV/atom.

For each record above, in turn, the calculated calculated volume values are 15.39 11.82 12.02 A^3/atom.
For each record above, in turn, the calculated density of states at the Fermi level values are 6.77 0.00 2.34 states/eV/f.u..